# Dy2Y2Ho

A relaxed structure of Dy2Y2Ho (GGA-PBE, the Alexandria database).

Magnetic moment (μB/atom): 0.000
N(E_F) (states/eV/cell): 8.36
E_tot (Ry per atom): -0.386
Energy above the most stable polymorph in this dataset (meV per atom): 71.9
Energy relative to the elements (meV per atom): 93

Structure (POSCAR):
```
Dy2Y2Ho
1.0
9.2652 0.0000 0.0000
0.0000 9.2652 0.0000
0.0000 0.0000 3.7411
Y Dy Ho
4 4 2
Cartesian
7.6807 6.2171 1.8705
1.5845 3.0481 1.8705
3.0481 7.6807 1.8705
6.2171 1.5845 1.8705
8.0830 3.4504 0.0000
3.4504 1.1822 0.0000
5.8148 8.0830 0.0000
1.1822 5.8148 0.0000
0.0000 0.0000 0.0000
4.6326 4.6326 0.0000
```